# SmPuGe2

A relaxed structure of SmPuGe2 (PBE, Alexandria).

Values from the calculation:
total moment: 5.6 μB per cell
raw total energy: -30.40 eV per cell
DFT formation energy: -528 meV per atom

The structure in POSCAR format:
```
SmPuGe2
1.0
-2.538 -0.803 -2.007
2.119 -0.311 -2.555
1.059 -7.968 1.850
Sm Ge Pu
1 2 1
direct
0.500 0.500 0.000 Sm
0.000 0.000 0.254 Ge
0.000 0.000 0.746 Ge
0.500 0.500 0.500 Pu
```